Material: Ta3Mn8Os
Method: DFT, GGA-PBE
State: relaxed

It has space group P3m1 (No. 156), with a = 4.7530 Å, b = 4.7530 Å, c = 7.8366 Å, α = 90.00°, β = 90.00° and γ = 120.00°. Symmetry generates all atoms from Ta at (0.0000, 0.0000, 0.0000), Ta at (0.0000, 0.0000, 0.3780), Ta at (0.3333, 0.6667, 0.8689), Mn at (0.0117, 0.5058, 0.1884), Mn at (0.3208, 0.1604, 0.6826), Mn at (0.6667, 0.3333, 0.4324), Mn at (0.6667, 0.3333, 0.9327) and Os at (0.3333, 0.6667, 0.5091).

For the mass density, the calculation gives 12.70 g/cm³. As for the total energy: -122.40 eV for the cell shown. The calculation puts the formation energy at -0.188 eV/atom.